Entry i
The following is a meta-GGA SCAN calculation of Cu2S3O12 at its PBEsol-relaxed geometry, from Alexandria.

Summary:
As for the magnetic moment: 4.1 μB per formula unit.

Geometry as CIF:
```
data_Cu2S3O12
_chemical_formula_sum 'Cu8 S12 O48'
_space_group_name_H-M_alt 'P 1 21/c 1'
_space_group_IT_number 14
_space_group_name_Hall '-P 2ybc'
_cell_length_a 8.107
_cell_length_b 8.499
_cell_length_c 13.872
_cell_angle_alpha 90.00
_cell_angle_beta 124.54
_cell_angle_gamma 90.00
loop_
_atom_site_label
_atom_site_type_symbol
_atom_site_fract_x
_atom_site_fract_y
_atom_site_fract_z
Cu1 Cu 0.134 0.031 0.387
Cu2 Cu 0.364 0.038 0.113
S1 S 0.034 0.619 0.646
S2 S 0.259 0.122 0.653
S3 S 0.454 0.748 0.995
O1 O 0.033 0.723 0.192
O2 O 0.129 0.507 0.745
O3 O 0.133 0.071 0.694
O4 O 0.149 0.099 0.525
O5 O 0.158 0.620 0.599
O6 O 0.175 0.069 0.942
O7 O 0.254 0.680 0.950
O8 O 0.289 0.206 0.177
O9 O 0.394 0.125 0.440
O10 O 0.447 0.030 0.715
O11 O 0.449 0.692 0.393
O12 O 0.496 0.627 0.580
```

Entry ii
The following is a meta-GGA SCAN calculation of Cu2S3O12 at its PBEsol-relaxed geometry, from Alexandria.

Summary:
As for the magnetic moment: 4.0 μB per formula unit.

Geometry as CIF:
```
data_Cu2S3O12
_chemical_formula_sum 'Cu12 S18 O72'
_space_group_name_H-M_alt 'R -3'
_space_group_IT_number 148
_space_group_name_Hall '-R 3'
_cell_length_a 8.0539
_cell_length_b 8.0539
_cell_length_c 22.1873
_cell_angle_alpha 90.00
_cell_angle_beta 90.00
_cell_angle_gamma 120.00
loop_
_atom_site_label
_atom_site_type_symbol
_atom_site_fract_x
_atom_site_fract_y
_atom_site_fract_z
Cu1 Cu 0.0000 0.0000 0.1453
Cu2 Cu 0.0000 0.0000 0.3448
S1 S 0.0003 0.2922 0.2504
O1 O 0.0116 0.2160 0.1909
O2 O 0.0510 0.8365 0.0884
O3 O 0.0938 0.8638 0.3988
O4 O 0.0965 0.8629 0.7039
```

Entry iii
The following is a meta-GGA SCAN calculation of Cu2S3O12 at its PBEsol-relaxed geometry, from Alexandria.

Summary:
As for the magnetic moment: 0.0 μB per formula unit.

Geometry as CIF:
```
data_Cu2S3O12
_chemical_formula_sum 'Cu8 S12 O48'
_space_group_name_H-M_alt 'C 1 2/c 1'
_space_group_IT_number 15
_space_group_name_Hall '-C 2yc'
_cell_length_a 13.476
_cell_length_b 8.125
_cell_length_c 9.433
_cell_angle_alpha 90.00
_cell_angle_beta 124.37
_cell_angle_gamma 90.00
loop_
_atom_site_label
_atom_site_type_symbol
_atom_site_fract_x
_atom_site_fract_y
_atom_site_fract_z
Cu1 Cu 0.117 0.247 0.043
S1 S 0.000 0.485 0.250
S2 S 0.142 0.104 0.657
O1 O 0.018 0.128 0.619
O2 O 0.060 0.393 0.187
O3 O 0.100 0.409 0.891
O4 O 0.156 0.158 0.525
O5 O 0.169 0.077 0.204
O6 O 0.221 0.185 0.829
```

Going by the energies, entry ii is most stable and the next is 8 meV/atom up.

Entry i
The following is a meta-GGA SCAN calculation of CuWO2 at its PBEsol-relaxed geometry, from Alexandria.

Summary:
The density of states at the Fermi level is 2.98 states/eV/cell. As for the magnetic moment: 0.0 μB per formula unit.

Geometry as CIF:
```
data_CuWO2
_chemical_formula_sum 'Cu3 W3 O6'
_space_group_name_H-M_alt 'R -3 m'
_space_group_IT_number 166
_space_group_name_Hall '-R 3 2"'
_cell_length_a 2.7605
_cell_length_b 2.7605
_cell_length_c 19.4625
_cell_angle_alpha 90.00
_cell_angle_beta 90.00
_cell_angle_gamma 120.00
loop_
_atom_site_label
_atom_site_type_symbol
_atom_site_fract_x
_atom_site_fract_y
_atom_site_fract_z
Cu1 Cu 0.0000 0.0000 0.0000
W1 W 0.0000 0.0000 0.5000
O1 O 0.0000 0.0000 0.0959
```

Entry ii
The following is a meta-GGA SCAN calculation of CuWO2 at its PBEsol-relaxed geometry, from Alexandria.

Summary:
The density of states at the Fermi level is 6.59 states/eV/cell. As for the magnetic moment: 0.0 μB per formula unit.

Geometry as CIF:
```
data_CuWO2
_chemical_formula_sum 'Cu4 W4 O8'
_space_group_name_H-M_alt 'F m -3 m'
_space_group_IT_number 225
_space_group_name_Hall '-F 4 2 3'
_cell_length_a 5.295
_cell_length_b 5.295
_cell_length_c 5.295
_cell_angle_alpha 90.00
_cell_angle_beta 90.00
_cell_angle_gamma 90.00
loop_
_atom_site_label
_atom_site_type_symbol
_atom_site_fract_x
_atom_site_fract_y
_atom_site_fract_z
Cu1 Cu 0.000 0.000 0.000
W1 W 0.000 0.000 0.500
O1 O 0.250 0.250 0.250
```

Going by the energies, entry i is most stable and the next is 905 meV/atom up.

Entry i
The following is a meta-GGA SCAN calculation of Y2Cu2O5 at its PBEsol-relaxed geometry, from Alexandria.

Summary:
As for the magnetic moment: 2.0 μB per formula unit.

Geometry as CIF:
```
data_Y2Cu2O5
_chemical_formula_sum 'Y8 Cu8 O20'
_space_group_name_H-M_alt 'P n a 21'
_space_group_IT_number 33
_space_group_name_Hall 'P 2c -2n'
_cell_length_a 10.753
_cell_length_b 3.485
_cell_length_c 12.363
_cell_angle_alpha 90.00
_cell_angle_beta 90.00
_cell_angle_gamma 90.00
loop_
_atom_site_label
_atom_site_type_symbol
_atom_site_fract_x
_atom_site_fract_y
_atom_site_fract_z
Y1 Y 0.043 0.218 0.000
Y2 Y 0.208 0.217 0.328
Cu1 Cu 0.011 0.341 0.717
Cu2 Cu 0.238 0.154 0.612
O1 O 0.073 0.279 0.566
O2 O 0.077 0.724 0.355
O3 O 0.125 0.345 0.164
O4 O 0.174 0.722 0.974
O5 O 0.176 0.214 0.763
```

Entry ii
The following is a meta-GGA SCAN calculation of Y2Cu2O5 at its PBEsol-relaxed geometry, from Alexandria.

Summary:
The density of states at the Fermi level is 2.04 states/eV/cell. As for the magnetic moment: 0.0 μB per formula unit.

Geometry as CIF:
```
data_Y2Cu2O5
_chemical_formula_sum 'Y8 Cu8 O20'
_space_group_name_H-M_alt 'P n m a'
_space_group_IT_number 62
_space_group_name_Hall '-P 2ac 2n'
_cell_length_a 6.170
_cell_length_b 11.080
_cell_length_c 7.076
_cell_angle_alpha 90.00
_cell_angle_beta 90.00
_cell_angle_gamma 90.00
loop_
_atom_site_label
_atom_site_type_symbol
_atom_site_fract_x
_atom_site_fract_y
_atom_site_fract_z
Y1 Y 0.250 0.021 0.120
Cu1 Cu 0.070 0.250 0.345
Cu2 Cu 0.089 0.250 0.872
O1 O 0.070 0.086 0.856
O2 O 0.096 0.088 0.386
O3 O 0.245 0.750 0.619
```

Going by the energies, entry i is most stable and the next is 30 meV/atom up.

Entry i
The following is a meta-GGA SCAN calculation of Cu3Os at its PBEsol-relaxed geometry, from Alexandria.

Summary:
The density of states at the Fermi level is 5.86 states/eV/cell. As for the magnetic moment: 0.0 μB per formula unit.

Geometry as CIF:
```
data_Cu3Os
_chemical_formula_sum 'Cu9 Os3'
_space_group_name_H-M_alt 'R -3 m'
_space_group_IT_number 166
_space_group_name_Hall '-R 3 2"'
_cell_length_a 2.6053
_cell_length_b 2.6053
_cell_length_c 25.0272
_cell_angle_alpha 90.00
_cell_angle_beta 90.00
_cell_angle_gamma 120.00
loop_
_atom_site_label
_atom_site_type_symbol
_atom_site_fract_x
_atom_site_fract_y
_atom_site_fract_z
Cu1 Cu 0.0000 0.0000 0.0000
Cu2 Cu 0.0000 0.0000 0.2529
Os1 Os 0.0000 0.0000 0.5000
```

Entry ii
The following is a meta-GGA SCAN calculation of Cu3Os at its PBEsol-relaxed geometry, from Alexandria.

Summary:
The density of states at the Fermi level is 4.12 states/eV/cell. As for the magnetic moment: 0.0 μB per formula unit.

Geometry as CIF:
```
data_Cu3Os
_chemical_formula_sum 'Cu6 Os2'
_space_group_name_H-M_alt 'C m m m'
_space_group_IT_number 65
_space_group_name_Hall '-C 2 2'
_cell_length_a 2.722
_cell_length_b 4.292
_cell_length_c 8.491
_cell_angle_alpha 90.00
_cell_angle_beta 90.00
_cell_angle_gamma 90.00
loop_
_atom_site_label
_atom_site_type_symbol
_atom_site_fract_x
_atom_site_fract_y
_atom_site_fract_z
Cu1 Cu 0.000 0.000 0.000
Cu2 Cu 0.000 0.500 0.239
Os1 Os 0.000 0.000 0.500
```

Going by the energies, entry i is most stable and the next is 85 meV/atom up.

Entry i
The following is a meta-GGA SCAN calculation of Cu3Os at its PBEsol-relaxed geometry, from Alexandria.

Summary:
The density of states at the Fermi level is 5.21 states/eV/cell. As for the magnetic moment: 0.0 μB per formula unit.

Geometry as CIF:
```
data_Cu3Os
_chemical_formula_sum 'Cu6 Os2'
_space_group_name_H-M_alt 'I m m m'
_space_group_IT_number 71
_space_group_name_Hall '-I 2 2'
_cell_length_a 2.532
_cell_length_b 4.411
_cell_length_c 8.728
_cell_angle_alpha 90.00
_cell_angle_beta 90.00
_cell_angle_gamma 90.00
loop_
_atom_site_label
_atom_site_type_symbol
_atom_site_fract_x
_atom_site_fract_y
_atom_site_fract_z
Cu1 Cu 0.000 0.000 0.000
Cu2 Cu 0.000 0.500 0.259
Os1 Os 0.000 0.000 0.500
```

Entry ii
The following is a meta-GGA SCAN calculation of Cu3Os at its PBEsol-relaxed geometry, from Alexandria.

Summary:
The density of states at the Fermi level is 3.12 states/eV/cell. As for the magnetic moment: 0.0 μB per formula unit.

Geometry as CIF:
```
data_Cu3Os
_chemical_formula_sum 'Cu3 Os1'
_space_group_name_H-M_alt 'P 4/m m m'
_space_group_IT_number 123
_space_group_name_Hall '-P 4 2'
_cell_length_a 2.562
_cell_length_b 2.562
_cell_length_c 7.398
_cell_angle_alpha 90.00
_cell_angle_beta 90.00
_cell_angle_gamma 90.00
loop_
_atom_site_label
_atom_site_type_symbol
_atom_site_fract_x
_atom_site_fract_y
_atom_site_fract_z
Cu1 Cu 0.000 0.000 0.000
Cu2 Cu 0.500 0.500 0.239
Os1 Os 0.000 0.000 0.500
```

Going by the energies, entry ii is most stable and the next is 37 meV/atom up.

Entry i
The following is a meta-GGA SCAN calculation of CuOs at its PBEsol-relaxed geometry, from Alexandria.

Summary:
The density of states at the Fermi level is 4.79 states/eV/cell. As for the magnetic moment: 0.0 μB per formula unit.

Geometry as CIF:
```
data_CuOs
_chemical_formula_sum 'Cu2 Os2'
_space_group_name_H-M_alt 'P 63/m m c'
_space_group_IT_number 194
_space_group_name_Hall '-P 6c 2c'
_cell_length_a 3.8383
_cell_length_b 3.8383
_cell_length_c 4.8308
_cell_angle_alpha 90.00
_cell_angle_beta 90.00
_cell_angle_gamma 120.00
loop_
_atom_site_label
_atom_site_type_symbol
_atom_site_fract_x
_atom_site_fract_y
_atom_site_fract_z
Cu1 Cu 0.3333 0.6667 0.2500
Os1 Os 0.0000 0.0000 0.0000
```

Entry ii
The following is a meta-GGA SCAN calculation of CuOs at its PBEsol-relaxed geometry, from Alexandria.

Summary:
The density of states at the Fermi level is 5.58 states/eV/cell. As for the magnetic moment: 0.0 μB per formula unit.

Geometry as CIF:
```
data_CuOs
_chemical_formula_sum 'Cu4 Os4'
_space_group_name_H-M_alt 'C m c m'
_space_group_IT_number 63
_space_group_name_Hall '-C 2c 2'
_cell_length_a 2.581
_cell_length_b 9.866
_cell_length_c 4.208
_cell_angle_alpha 90.00
_cell_angle_beta 90.00
_cell_angle_gamma 90.00
loop_
_atom_site_label
_atom_site_type_symbol
_atom_site_fract_x
_atom_site_fract_y
_atom_site_fract_z
Cu1 Cu 0.000 0.180 0.250
Os1 Os 0.000 0.436 0.250
```

Going by the energies, entry ii is most stable and the next is 731 meV/atom up.

Entry i
The following is a meta-GGA SCAN calculation of CuOs at its PBEsol-relaxed geometry, from Alexandria.

Summary:
The density of states at the Fermi level is 3.05 states/eV/cell. As for the magnetic moment: 0.0 μB per formula unit.

Geometry as CIF:
```
data_CuOs
_chemical_formula_sum 'Cu2 Os2'
_space_group_name_H-M_alt 'P 4/n m m'
_space_group_IT_number 129
_cell_length_a 2.722
_cell_length_b 2.722
_cell_length_c 6.907
_cell_angle_alpha 90.00
_cell_angle_beta 90.00
_cell_angle_gamma 90.00
loop_
_space_group_symop_operation_xyz
'x,y,z'
'-x,-y,-z'
'-y+1/2,x,z'
'y+1/2,-x,-z'
'-x+1/2,-y+1/2,z'
'x+1/2,y+1/2,-z'
'y,-x+1/2,z'
'-y,x+1/2,-z'
'x+1/2,-y,-z'
'-x+1/2,y,z'
'-y,-x,-z'
'y,x,z'
'-x,y+1/2,-z'
'x,-y+1/2,z'
'y+1/2,x+1/2,-z'
'-y+1/2,-x+1/2,z'
loop_
_atom_site_label
_atom_site_type_symbol
_atom_site_fract_x
_atom_site_fract_y
_atom_site_fract_z
Cu1 Cu 0.250 0.250 0.111
Os1 Os 0.250 0.250 0.626
```

Entry ii
The following is a meta-GGA SCAN calculation of CuOs at its PBEsol-relaxed geometry, from Alexandria.

Summary:
The density of states at the Fermi level is 4.45 states/eV/cell. As for the magnetic moment: 0.0 μB per formula unit.

Geometry as CIF:
```
data_CuOs
_chemical_formula_sum 'Cu3 Os3'
_space_group_name_H-M_alt 'R -3 m'
_space_group_IT_number 166
_space_group_name_Hall '-R 3 2"'
_cell_length_a 2.6457
_cell_length_b 2.6457
_cell_length_c 12.7981
_cell_angle_alpha 90.00
_cell_angle_beta 90.00
_cell_angle_gamma 120.00
loop_
_atom_site_label
_atom_site_type_symbol
_atom_site_fract_x
_atom_site_fract_y
_atom_site_fract_z
Cu1 Cu 0.0000 0.0000 0.0000
Os1 Os 0.0000 0.0000 0.5000
```

Going by the energies, entry i is most stable and the next is 122 meV/atom up.

Entry i
The following is a meta-GGA SCAN calculation of CuPOs at its PBEsol-relaxed geometry, from Alexandria.

Summary:
The density of states at the Fermi level is 8.74 states/eV/cell. As for the magnetic moment: 0.0 μB per formula unit.

Geometry as CIF:
```
data_CuPOs
_chemical_formula_sum 'Cu4 P4 Os4'
_space_group_name_H-M_alt 'F m m 2'
_space_group_IT_number 42
_space_group_name_Hall 'F 2 -2'
_cell_length_a 2.826
_cell_length_b 4.685
_cell_length_c 12.130
_cell_angle_alpha 90.00
_cell_angle_beta 90.00
_cell_angle_gamma 90.00
loop_
_atom_site_label
_atom_site_type_symbol
_atom_site_fract_x
_atom_site_fract_y
_atom_site_fract_z
Cu1 Cu 0.000 0.000 0.000
P1 P 0.000 0.000 0.665
Os1 Os 0.000 0.000 0.317
```

Entry ii
The following is a meta-GGA SCAN calculation of CuPOs at its PBEsol-relaxed geometry, from Alexandria.

Summary:
The density of states at the Fermi level is 4.50 states/eV/cell. As for the magnetic moment: 0.0 μB per formula unit.

Geometry as CIF:
```
data_CuPOs
_chemical_formula_sum 'Cu4 P4 Os4'
_space_group_name_H-M_alt 'F -4 3 m'
_space_group_IT_number 216
_space_group_name_Hall 'F -4 2 3'
_cell_length_a 5.582
_cell_length_b 5.582
_cell_length_c 5.582
_cell_angle_alpha 90.00
_cell_angle_beta 90.00
_cell_angle_gamma 90.00
loop_
_atom_site_label
_atom_site_type_symbol
_atom_site_fract_x
_atom_site_fract_y
_atom_site_fract_z
Cu1 Cu 0.000 0.000 0.000
P1 P 0.000 0.000 0.500
Os1 Os 0.250 0.250 0.750
```

Going by the energies, entry ii is most stable and the next is 340 meV/atom up.

Entry i
The following is a meta-GGA SCAN calculation of CuP2Os at its PBEsol-relaxed geometry, from Alexandria.

Summary:
The density of states at the Fermi level is 2.02 states/eV/cell. As for the magnetic moment: 0.0 μB per formula unit.

Geometry as CIF:
```
data_CuP2Os
_chemical_formula_sum 'Cu2 P4 Os2'
_space_group_name_H-M_alt 'C 1 m 1'
_space_group_IT_number 8
_space_group_name_Hall 'C -2y'
_cell_length_a 7.521
_cell_length_b 2.998
_cell_length_c 5.142
_cell_angle_alpha 90.00
_cell_angle_beta 90.95
_cell_angle_gamma 90.00
loop_
_atom_site_label
_atom_site_type_symbol
_atom_site_fract_x
_atom_site_fract_y
_atom_site_fract_z
Cu1 Cu 0.000 0.000 0.000
P1 P 0.218 0.500 0.825
P2 P 0.416 0.000 0.336
Os1 Os 0.136 0.000 0.497
```

Entry ii
The following is a meta-GGA SCAN calculation of CuP2Os at its PBEsol-relaxed geometry, from Alexandria.

Summary:
The density of states at the Fermi level is 1.70 states/eV/cell. As for the magnetic moment: 0.0 μB per formula unit.

Geometry as CIF:
```
data_CuP2Os
_chemical_formula_sum 'Cu1 P2 Os1'
_space_group_name_H-M_alt 'P 1 2/m 1'
_space_group_IT_number 10
_space_group_name_Hall '-P 2y'
_cell_length_a 3.066
_cell_length_b 3.920
_cell_length_c 4.632
_cell_angle_alpha 90.00
_cell_angle_beta 90.15
_cell_angle_gamma 90.00
loop_
_atom_site_label
_atom_site_type_symbol
_atom_site_fract_x
_atom_site_fract_y
_atom_site_fract_z
Cu1 Cu 0.000 0.000 0.000
P1 P 0.499 0.500 0.228
Os1 Os 0.500 0.000 0.500
```

Going by the energies, entry i is most stable and the next is 270 meV/atom up.